[1]
VASP calculation (PBEsol) on an optimized crystal structure of Hf3CrIr.

Output
Its calculated formation energy is 660 meV/atom.

Cell lengths 4.5953, 4.5953, 4.5953 Å; angles 90.00, 90.00, 90.00 degrees
Element x y z (fractional)
Cr1 0.0000 0.0000 0.0000
Ir1 0.5000 0.5000 0.5000
Hf1 0.0000 0.5000 0.0000
Hf2 0.0000 0.0000 0.5000
Hf3 0.5000 0.0000 0.0000

[2]
VASP calculation (PBEsol) on an optimized crystal structure of KHfCr2.

Output
Its calculated formation energy is 1467 meV/atom.

Cell lengths 4.8469, 4.8469, 4.8469 Å; angles 60.00, 60.00, 60.00 degrees
Element x y z (fractional)
Cr1 0.2500 0.2500 0.2500
Cr2 0.7500 0.7500 0.7500
K1 0.0000 0.0000 0.0000
Hf1 0.5000 0.5000 0.5000

[3]
VASP calculation (PBEsol) on an optimized crystal structure of KHf2CrSb.

Output
The value obtained for the energy relative to the elements, uncorrected is 2.9 eV/f.u.

Cell lengths 4.8807, 4.8807, 5.0586 Å; angles 90.00, 90.00, 90.00 degrees
Element x y z (fractional)
Sb1 0.0000 0.0000 0.5000
K1 0.5000 0.5000 0.5000
Hf1 0.0000 0.5000 0.0000
Hf2 0.5000 0.0000 0.0000
Cr1 0.0000 0.0000 0.0000

[4]
VASP calculation (PBEsol) on an optimized crystal structure of NaLaHf2Cr.

Output
Its calculated formation energy is 1489 meV/atom.

Cell lengths 4.8402, 5.0554, 5.0554 Å; angles 90.00, 90.00, 90.00 degrees
Element x y z (fractional)
Na1 0.0000 0.0000 0.0000
Cr1 0.5000 0.0000 0.0000
Hf1 0.0000 0.0000 0.5000
Hf2 0.0000 0.5000 0.0000
La1 0.5000 0.5000 0.5000

[5]
VASP calculation (PBEsol) on an optimized crystal structure of NaLiHf2Cr.

Output
Its calculated formation energy is 1403 meV/atom.

Cell lengths 4.3441, 4.8004, 4.8004 Å; angles 90.00, 90.00, 90.00 degrees
Element x y z (fractional)
Cr1 0.5000 0.5000 0.5000
Li1 0.0000 0.0000 0.0000
Hf1 0.0000 0.0000 0.5000
Hf2 0.0000 0.5000 0.0000
Na1 0.5000 0.0000 0.0000

[6]
VASP calculation (PBEsol) on an optimized crystal structure of HfMn3Cr.

Output
Its calculated formation energy is 1823 meV/atom.

Cell lengths 4.6217, 4.6217, 4.6217 Å; angles 90.00, 90.00, 90.00 degrees
Element x y z (fractional)
Cr1 0.5000 0.5000 0.5000
Mn1 0.0000 0.5000 0.0000
Mn2 0.0000 0.0000 0.5000
Mn3 0.5000 0.0000 0.0000
Hf1 0.0000 0.0000 0.0000

no.,calculated volume (Å³ per cell),E_tot (eV/atom)
1,97,-9.65
2,81,-6.56
3,121,-6.81
4,124,-6.11
5,100,-5.52
6,99,-8.18